# 1
# SrNiAsAu

A relaxed structure of SrNiAsAu (GGA-PBE, OQMD via LeMat-Bulk).

a = 4.8870 Å, b = 4.8870 Å, c = 4.8870 Å
α = 60.00°, β = 60.00°, γ = 60.00°
Last column: nearest neighbours and their distance in Å.
Sites, in units of the cell vectors:
As 0.5000 0.5000 0.5000  4 Au 2.99, 4 Ni 2.99
Au 0.7500 0.7500 0.7500  4 As 2.99, 4 Sr 2.99
Ni 0.2500 0.2500 0.2500  4 As 2.99, 4 Sr 2.99
Sr 0.0000 0.0000 0.0000  4 Au 2.99, 4 Ni 2.99

---

# 2
# LiHoIn3

A relaxed structure of LiHoIn3 (GGA-PBE, OQMD via LeMat-Bulk).

a = 9.5102 Å, b = 9.5102 Å, c = 3.9110 Å
α = 90.00°, β = 90.00°, γ = 120.01°
Last column: nearest neighbours and their distance in Å.
Sites, in units of the cell vectors:
Ho 0.8333 0.1667 0.2500  3 In 2.97
Ho 0.1667 0.8333 0.7500  3 In 2.97
In 0.1935 0.3467 0.2500  2 Li 2.71, 1 Ho 2.97
In 0.6532 0.3468 0.2500  2 Li 2.71, 1 Ho 2.97
In 0.6533 0.8065 0.2500  2 Li 2.71, 1 Ho 2.97
In 0.3467 0.1935 0.7500  2 Li 2.71, 1 Ho 2.97
In 0.3468 0.6532 0.7500  2 Li 2.71, 1 Ho 2.97
In 0.8065 0.6533 0.7500  2 Li 2.71, 1 Ho 2.97
Li 0.5000 0.5000 0.0000  2 Li 1.96
Li 0.5000 0.5000 0.5000  2 Li 1.96

---

# 3
# YCoSbPd

A relaxed structure of YCoSbPd (GGA-PBE, OQMD via LeMat-Bulk).

a = 4.6752 Å, b = 4.6752 Å, c = 4.6752 Å
α = 60.00°, β = 60.00°, γ = 60.00°
Last column: nearest neighbours and their distance in Å.
Sites, in units of the cell vectors:
Co 0.7500 0.7500 0.7500  4 Y 2.86, 4 Sb 2.86
Pd 0.2500 0.2500 0.2500  4 Sb 2.86, 4 Y 2.86
Sb 0.0000 0.0000 0.0000  4 Co 2.86, 4 Pd 2.86
Y 0.5000 0.5000 0.5000  4 Co 2.86, 4 Pd 2.86

---

# 4
# NaZr

A relaxed structure of NaZr (GGA-PBE, OQMD via LeMat-Bulk).

a = 5.6411 Å, b = 7.1204 Å, c = 5.0691 Å
α = 90.00°, β = 90.00°, γ = 90.00°
Last column: nearest neighbours and their distance in Å.
Sites, in units of the cell vectors:
Na 0.0080 0.5019 0.0000  6 Na 3.10-3.32, 4 Zr 3.31-3.45
Na 0.5080 0.7481 0.0000  6 Na 3.10-3.32, 4 Zr 3.31-3.45
Na 0.3254 0.5019 0.5000  6 Na 3.10-3.32, 4 Zr 3.31-3.45
Na 0.8254 0.7481 0.5000  6 Na 3.10-3.32, 4 Zr 3.31-3.45
Zr 0.0252 0.0368 0.0000  6 Zr 3.00-3.09, 1 Na 3.31
Zr 0.5252 0.2132 0.0000  6 Zr 3.00-3.09, 1 Na 3.31
Zr 0.3081 0.0368 0.5000  6 Zr 3.00-3.09, 1 Na 3.31
Zr 0.8081 0.2132 0.5000  6 Zr 3.00-3.09, 1 Na 3.31

---

# 5
# ScFe2B

A relaxed structure of ScFe2B (GGA-PBE, OQMD via LeMat-Bulk).

a = 4.0737 Å, b = 4.0737 Å, c = 4.0737 Å
α = 60.00°, β = 60.00°, γ = 60.00°
Last column: nearest neighbours and their distance in Å.
Sites, in units of the cell vectors:
B 0.2500 0.2500 0.2500  4 Fe 2.49, 4 Sc 2.49
Fe 0.5000 0.5000 0.5000  4 B 2.49, 4 Fe 2.49
Fe 0.7500 0.7500 0.7500  4 Fe 2.49, 4 Sc 2.49
Sc 0.0000 0.0000 0.0000  4 Fe 2.49, 4 B 2.49

---

# 6
# Cs2NbInBr6

A relaxed structure of Cs2NbInBr6 (GGA-PBE, OQMD via LeMat-Bulk).

a = 8.1700 Å, b = 8.1700 Å, c = 8.1700 Å
α = 60.00°, β = 60.00°, γ = 60.00°
Last column: nearest neighbours and their distance in Å.
Sites, in units of the cell vectors:
Br 0.7702 0.2298 0.2298  1 Nb 2.66
Br 0.2298 0.7702 0.2298  1 Nb 2.66
Br 0.7702 0.7702 0.2298  1 Nb 2.66
Br 0.2298 0.2298 0.7702  1 Nb 2.66
Br 0.7702 0.2298 0.7702  1 Nb 2.66
Br 0.2298 0.7702 0.7702  1 Nb 2.66
Cs 0.2500 0.2500 0.2500  12 Br 4.09
Cs 0.7500 0.7500 0.7500  12 Br 4.09
In 0.5000 0.5000 0.5000  6 Br 3.12
Nb 0.0000 0.0000 0.0000  6 Br 2.66

---

# 7
# CoRe2Pb

A relaxed structure of CoRe2Pb (GGA-PBE, OQMD via LeMat-Bulk).

a = 4.4679 Å, b = 4.4679 Å, c = 4.4679 Å
α = 60.00°, β = 60.00°, γ = 60.00°
Last column: nearest neighbours and their distance in Å.
Sites, in units of the cell vectors:
Co 0.2500 0.2500 0.2500  4 Pb 2.74, 4 Re 2.74
Pb 0.5000 0.5000 0.5000  4 Co 2.74, 4 Re 2.74
Re 0.0000 0.0000 0.0000  4 Re 2.74, 4 Co 2.74
Re 0.7500 0.7500 0.7500  4 Re 2.74, 4 Pb 2.74

---

# 8
# TbHgAsO

A relaxed structure of TbHgAsO (GGA-PBE, OQMD via LeMat-Bulk).

a = 4.2484 Å, b = 6.2120 Å, c = 6.8434 Å
α = 90.00°, β = 90.00°, γ = 90.00°
Last column: nearest neighbours and their distance in Å.
Sites, in units of the cell vectors:
As 0.0000 0.2086 0.3210  2 Hg 2.57-2.65
As 0.0000 0.7914 0.8210  2 Hg 2.57-2.65
Hg 0.0000 0.5799 0.4853  2 As 2.57-2.65, 2 O 2.62
Hg 0.0000 0.4201 0.9853  2 As 2.57-2.65, 2 O 2.62
O 0.5000 0.7866 0.3621  2 Tb 2.18-2.19
O 0.5000 0.2134 0.8621  2 Tb 2.18-2.19
Tb 0.5000 0.9606 0.0855  2 O 2.18-2.19
Tb 0.5000 0.0394 0.5855  2 O 2.18-2.19

---

# 9
# Tb2TmIn3AgPt2

A relaxed structure of Tb2TmIn3AgPt2 (GGA-PBE, OQMD via LeMat-Bulk).

a = 3.7679 Å, b = 7.8179 Å, c = 7.8179 Å
α = 119.85°, β = 90.00°, γ = 90.00°
Last column: nearest neighbours and their distance in Å.
Sites, in units of the cell vectors:
Ag 0.0000 0.0008 0.0008  6 In 2.82-2.84
In 0.5000 0.2690 0.0011  2 Ag 2.82, 2 Pt 2.88-2.92, 2 Tb 3.15
In 0.5000 0.0011 0.2690  2 Ag 2.82, 2 Pt 2.88-2.92, 2 Tb 3.15
In 0.5000 0.7304 0.7304  2 Ag 2.84, 2 Pt 2.87, 2 Tm 3.14
Pt 0.5000 0.6641 0.3342  3 In 2.87-2.92, 2 Tm 3.00, 4 Tb 3.04
Pt 0.5000 0.3342 0.6641  3 In 2.87-2.92, 2 Tm 3.00, 4 Tb 3.04
Tb 0.0000 0.5906 0.0000  4 Pt 3.04, 6 In 3.15-3.40, 1 Ag 3.20
Tb 0.0000 0.0000 0.5906  4 Pt 3.04, 6 In 3.15-3.40, 1 Ag 3.20
Tm 0.0000 0.4099 0.4099  4 Pt 3.00, 2 In 3.14, 1 Ag 3.20

---

# 10
# LiAg2Sn

A relaxed structure of LiAg2Sn (GGA-PBE, OQMD via LeMat-Bulk).

a = 4.6188 Å, b = 4.6188 Å, c = 8.1816 Å
α = 90.00°, β = 90.00°, γ = 120.00°
Last column: nearest neighbours and their distance in Å.
Sites, in units of the cell vectors:
Ag 0.3333 0.6667 0.0773  1 Li 2.68, 4 Ag 2.83-2.95
Ag 0.3333 0.6667 0.4227  1 Li 2.68, 4 Ag 2.83-2.95
Ag 0.6667 0.3333 0.5773  1 Li 2.68, 4 Ag 2.83-2.95
Ag 0.6667 0.3333 0.9227  1 Li 2.68, 4 Ag 2.83-2.95
Li 0.6667 0.3333 0.2500  3 Sn 2.67, 2 Ag 2.68
Li 0.3333 0.6667 0.7500  3 Sn 2.67, 2 Ag 2.68
Sn 0.0000 0.0000 0.2500  3 Li 2.67
Sn 0.0000 0.0000 0.7500  3 Li 2.67

---

# 11
# ScFeNiSb

A relaxed structure of ScFeNiSb (GGA-PBE, OQMD via LeMat-Bulk).

a = 4.4568 Å, b = 4.4568 Å, c = 4.4568 Å
α = 60.00°, β = 60.00°, γ = 60.00°
Last column: nearest neighbours and their distance in Å.
Sites, in units of the cell vectors:
Fe 0.7500 0.7500 0.7500  4 Ni 2.73, 4 Sc 2.73
Ni 0.0000 0.0000 0.0000  4 Fe 2.73, 4 Sb 2.73
Sb 0.2500 0.2500 0.2500  4 Sc 2.73, 4 Ni 2.73
Sc 0.5000 0.5000 0.5000  4 Sb 2.73, 4 Fe 2.73

---

# 12
# LiLuInCo

A relaxed structure of LiLuInCo (GGA-PBE, OQMD via LeMat-Bulk).

a = 4.6916 Å, b = 4.6916 Å, c = 4.6916 Å
α = 60.00°, β = 60.00°, γ = 60.00°
Last column: nearest neighbours and their distance in Å.
Sites, in units of the cell vectors:
Co 0.7500 0.7500 0.7500  4 In 2.87, 4 Li 2.87
In 0.0000 0.0000 0.0000  4 Co 2.87, 4 Lu 2.87
Li 0.5000 0.5000 0.5000  4 Lu 2.87, 4 Co 2.87
Lu 0.2500 0.2500 0.2500  4 Li 2.87, 4 In 2.87

---

| no. | final energy (eV/atom) |
| --- | --- |
| 1 | -3.860 |
| 2 | -2.536 |
| 3 | -6.186 |
| 4 | -4.481 |
| 5 | -7.260 |
| 6 | -3.624 |
| 7 | -8.063 |
| 8 | -4.900 |
| 9 | -4.921 |
| 10 | -2.973 |
| 11 | -6.124 |
| 12 | -4.013 |